(1)
Here is an optimized crystal structure of KCoRu2O8 from the Alexandria database. Energies are from PBE with a Hubbard U.

abc: 5.1620 5.1620 7.2098
angles: 73.82 73.82 73.49
With the nearest neighbours (Å) after each atom.
Element x y z (fractional)
K 0.0000 0.0000 0.5000  4 O 2.67
Co 0.0000 0.0000 0.0000  2 O 1.89
Ru 0.5582 0.5582 0.2566  4 O 1.78-1.83
Ru 0.4418 0.4418 0.7434  4 O 1.78-1.83
O 0.7798 0.2842 0.7861  1 Ru 1.78
O 0.7608 0.7608 0.0462  1 Ru 1.83, 1 Co 1.89
O 0.6560 0.6560 0.4460  1 Ru 1.81
O 0.3440 0.3440 0.5540  1 Ru 1.81
O 0.2392 0.2392 0.9538  1 Ru 1.83, 1 Co 1.89
O 0.2842 0.7798 0.7861  1 Ru 1.78
O 0.7158 0.2202 0.2139  1 Ru 1.78
O 0.2202 0.7158 0.2139  1 Ru 1.78

Calculated values
Calculated density   4.12 g/cm3
Calculated total energy   -75.573 eV for the cell shown
Space-group type   C2/m (12)



(2)
Here is an optimized crystal structure of KCoRuO6 from the Alexandria database. Energies are from PBE with a Hubbard U.

abc: 5.0824 5.0823 5.9295
angles: 90.00 90.00 60.00
With the nearest neighbours (Å) after each atom.
Element x y z (fractional)
K 0.0000 0.0000 0.0000  6 O 2.77
Co 0.3333 0.3333 0.5000  6 O 1.87
Ru 0.6666 0.6667 0.5000  6 O 1.89
O 0.0028 0.3897 0.3247  1 Co 1.87, 1 Ru 1.89
O 0.3896 0.0028 0.6752  1 Co 1.87, 1 Ru 1.89
O 0.6075 0.3897 0.6752  1 Co 1.87, 1 Ru 1.89
O 0.0028 0.6075 0.6752  1 Co 1.87, 1 Ru 1.89
O 0.3897 0.6075 0.3247  1 Co 1.87, 1 Ru 1.89
O 0.6075 0.0028 0.3247  1 Co 1.87, 1 Ru 1.89

Calculated values
Calculated density   3.69 g/cm3
Calculated total energy   -53.161 eV for the cell shown
Space-group type   P312 (149)



(3)
Here is an optimized crystal structure of KCo2Ru2O7 from the Alexandria database. Energies are from PBE with a Hubbard U.

abc: 4.0281 4.0281 8.7704
angles: 103.28 103.28 90.00
With the nearest neighbours (Å) after each atom.
Element x y z (fractional)
K 0.0000 0.9998 0.0000  12 O 2.85-3.00
Co 0.2500 0.7500 0.5000  6 O 1.93-2.02
Co 0.7500 0.2500 0.5000  6 O 1.93-2.02
Ru 0.3846 0.3846 0.7692  6 O 1.91-2.04
Ru 0.6154 0.6153 0.2308  6 O 1.91-2.04
O 0.3661 0.8661 0.7321  1 Co 1.93, 2 Ru 2.04
O 0.7387 0.7387 0.4773  4 Co 2.02, 1 Ru 2.04
O 0.1339 0.6339 0.2678  1 Co 1.93, 2 Ru 2.04
O 0.6339 0.1339 0.2678  1 Co 1.93, 2 Ru 2.04
O 0.2613 0.2614 0.5227  4 Co 2.02, 1 Ru 2.04
O 0.8661 0.3662 0.7321  1 Co 1.93, 2 Ru 2.04
O 0.5000 0.4999 0.0000  2 Ru 1.91

Calculated values
Calculated density   5.81 g/cm3
Calculated total energy   -75.477 eV for the cell shown
Space-group type   I4/mmm (139)



(4)
Here is an optimized crystal structure of KCoS2O8 from the Alexandria database. Energies are from PBE with a Hubbard U.

abc: 4.8944 4.8944 8.2222
angles: 90.00 90.00 120.00
With the nearest neighbours (Å) after each atom.
Element x y z (fractional)
K 0.0000 0.0000 0.0000  12 O 2.98-3.32
Co 0.0000 0.0000 0.5000  6 O 2.01
S 0.6667 0.3333 0.2915  4 O 1.46-1.50
S 0.3333 0.6667 0.7085  4 O 1.46-1.50
O 0.3333 0.6667 0.8865  1 S 1.46
O 0.3594 0.2885 0.3533  1 S 1.50
O 0.7115 0.0709 0.3533  1 S 1.50
O 0.6667 0.3333 0.1135  1 S 1.46
O 0.2885 0.9291 0.6467  1 S 1.50
O 0.6406 0.7115 0.6467  1 S 1.50
O 0.0709 0.3594 0.6467  1 S 1.50
O 0.9291 0.6406 0.3533  1 S 1.50

Calculated values
Calculated density   2.82 g/cm3
Calculated total energy   -70.884 eV for the cell shown
Space-group type   P-3 (147)



(5)
Here is an optimized crystal structure of K2Co2S3O12 from the Alexandria database. Energies are from PBE with a Hubbard U.

abc: 9.9679 9.9679 9.9679
angles: 90.00 90.00 90.00
With the nearest neighbours (Å) after each atom.
Element x y z (fractional)
K 0.6862 0.1862 0.3138  9 O 2.88-3.09
K 0.3138 0.6862 0.1862  9 O 2.88-3.09
K 0.9510 0.5490 0.4510  9 O 2.82-3.13
K 0.1862 0.3138 0.6862  9 O 2.88-3.09
K 0.0490 0.0490 0.0490  9 O 2.82-3.13
K 0.4510 0.9510 0.5490  9 O 2.82-3.13
K 0.5490 0.4510 0.9510  9 O 2.82-3.13
K 0.8138 0.8138 0.8138  9 O 2.88-3.09
Co 0.3377 0.3377 0.3377  6 O 2.05-2.06
Co 0.1623 0.6623 0.8377  6 O 2.05-2.06
Co 0.8377 0.1623 0.6623  6 O 2.05-2.06
Co 0.6623 0.8377 0.1623  6 O 2.05-2.06
Co 0.5961 0.5961 0.5961  6 O 2.09-2.12
Co 0.0961 0.9039 0.4039  6 O 2.09-2.12
Co 0.4039 0.0961 0.9039  6 O 2.09-2.12
Co 0.9039 0.4039 0.0961  6 O 2.09-2.12
S 0.2825 0.6223 0.5219  4 O 1.48-1.50
S 0.7825 0.8777 0.4781  4 O 1.48-1.50
S 0.7175 0.1223 0.9781  4 O 1.48-1.50
S 0.8777 0.4781 0.7825  4 O 1.48-1.50
S 0.9781 0.7175 0.1223  4 O 1.48-1.50
S 0.4781 0.7825 0.8777  4 O 1.48-1.50
S 0.6223 0.5219 0.2825  4 O 1.48-1.50
S 0.5219 0.2825 0.6223  4 O 1.48-1.50
S 0.1223 0.9781 0.7175  4 O 1.48-1.50
S 0.2175 0.3777 0.0219  4 O 1.48-1.50
S 0.0219 0.2175 0.3777  4 O 1.48-1.50
S 0.3777 0.0219 0.2175  4 O 1.48-1.50
O 0.2527 0.5937 0.6647  1 S 1.48
O 0.7527 0.9063 0.3353  1 S 1.48
O 0.7473 0.0937 0.8353  1 S 1.48
O 0.9063 0.3353 0.7527  1 S 1.48
O 0.8353 0.7473 0.0937  1 S 1.48
O 0.3353 0.7527 0.9063  1 S 1.48
O 0.5937 0.6647 0.2527  1 S 1.48
O 0.6647 0.2527 0.5937  1 S 1.48
O 0.0937 0.8353 0.7473  1 S 1.48
O 0.4063 0.1647 0.2473  1 S 1.48
O 0.1647 0.2473 0.4063  1 S 1.48
O 0.2473 0.4063 0.1647  1 S 1.48
O 0.2605 0.4947 0.4453  1 S 1.50
O 0.7605 0.0053 0.5547  1 S 1.50
O 0.7395 0.9947 0.0547  1 S 1.50
O 0.0053 0.5547 0.7605  1 S 1.50
O 0.0547 0.7395 0.9947  1 S 1.50
O 0.5547 0.7605 0.0053  1 S 1.50
O 0.9945 0.5773 0.1725  1 S 1.49
O 0.4453 0.2605 0.4947  1 S 1.50
O 0.9947 0.0547 0.7395  1 S 1.50
O 0.5053 0.9453 0.2395  1 S 1.50
O 0.9453 0.2395 0.5053  1 S 1.50
O 0.2395 0.5053 0.9453  1 S 1.50
O 0.4227 0.6725 0.5055  1 S 1.49
O 0.9227 0.8275 0.4945  1 S 1.49
O 0.5773 0.1725 0.9945  1 S 1.49
O 0.8275 0.4945 0.9227  1 S 1.49
O 0.3118 0.2789 0.9617  1 S 1.49
O 0.9617 0.3118 0.2789  1 S 1.49
O 0.2789 0.9617 0.3118  1 S 1.49
O 0.2211 0.0383 0.8118  1 S 1.49
O 0.4617 0.1882 0.7211  1 S 1.49
O 0.7211 0.4617 0.1882  1 S 1.49
O 0.5383 0.6882 0.7789  1 S 1.49
O 0.0383 0.8118 0.2211  1 S 1.49
O 0.7789 0.5383 0.6882  1 S 1.49
O 0.8118 0.2211 0.0383  1 S 1.49
O 0.6882 0.7789 0.5383  1 S 1.49
O 0.1882 0.7211 0.4617  1 S 1.49
O 0.0773 0.3275 0.0055  1 S 1.49
O 0.0055 0.0773 0.3275  1 S 1.49
O 0.3275 0.0055 0.0773  1 S 1.49
O 0.1725 0.9945 0.5773  1 S 1.49
O 0.5055 0.4227 0.6725  1 S 1.49
O 0.6725 0.5055 0.4227  1 S 1.49
O 0.4945 0.9227 0.8275  1 S 1.49
O 0.4947 0.4453 0.2605  1 S 1.50

Calculated values
Calculated density   3.25 g/cm3
Calculated total energy   -440.013 eV for the cell shown
Space-group type   P2_13 (198)



(6)
Here is an optimized crystal structure of K2CoSbO4 from the Alexandria database. Energies are from PBE with a Hubbard U.

abc: 6.2096 5.8736 5.5210
angles: 117.34 119.58 97.40
With the nearest neighbours (Å) after each atom.
Element x y z (fractional)
K 0.4537 0.9537 0.9073  6 O 2.85-2.89
K 0.2062 0.2062 0.4125  6 O 2.71-2.97
Co 0.9854 0.4855 0.9709  4 O 1.97-2.01
Sb 0.7143 0.7143 0.4287  4 O 1.98-2.06
O 0.7393 0.6334 0.7504  1 Sb 1.98, 1 Co 2.01
O 0.9061 0.4895 0.2775  1 Co 1.97, 1 Sb 2.06
O 0.3713 0.7876 0.2768  1 Co 1.97, 1 Sb 2.06
O 0.0107 0.1169 0.7500  1 Sb 1.98, 1 Co 2.01

Calculated values
Calculated density   3.88 g/cm3
Calculated total energy   -41.994 eV for the cell shown
Space-group type   C2 (5)



(7)
Here is an optimized crystal structure of KCoSb2O8 from the Alexandria database. Energies are from PBE with a Hubbard U.

abc: 5.3472 5.3472 6.9033
angles: 90.00 90.00 120.00
With the nearest neighbours (Å) after each atom.
Element x y z (fractional)
K 0.0000 0.0000 0.5000  12 O 3.07-3.23
Co 0.0000 0.0000 0.0000  6 O 1.92
Sb 0.6667 0.3333 0.0716  7 O 2.00-2.14
Sb 0.3333 0.6667 0.9284  7 O 2.00-2.14
O 0.9464 0.6584 0.8702  1 Co 1.92, 2 Sb 2.09-2.14
O 0.3416 0.2880 0.8702  1 Co 1.92, 2 Sb 2.09-2.14
O 0.7120 0.0536 0.8702  1 Co 1.92, 2 Sb 2.09-2.14
O 0.0536 0.3416 0.1298  1 Co 1.92, 2 Sb 2.09-2.14
O 0.6584 0.7120 0.1298  1 Co 1.92, 2 Sb 2.09-2.14
O 0.2880 0.9464 0.1298  1 Co 1.92, 2 Sb 2.09-2.14
O 0.6667 0.3333 0.3606  1 Sb 2.00
O 0.3333 0.6667 0.6394  1 Sb 2.00

Calculated values
Calculated density   4.56 g/cm3
Calculated total energy   -65.523 eV for the cell shown
Space-group type   P-3 (147)



(8)
Here is an optimized crystal structure of K3Sc2CoO6 from the Alexandria database. Energies are from PBE with a Hubbard U.

abc: 5.5396 5.5396 6.4012
angles: 98.50 98.50 119.62
With the nearest neighbours (Å) after each atom.
Element x y z (fractional)
K 0.1649 0.8351 0.5000  6 O 2.68-2.76
K 0.8351 0.1649 0.5000  6 O 2.68-2.76
K 0.5000 0.5000 0.5000  6 O 2.70
Sc 0.3346 0.6654 0.0000  6 O 2.14-2.17
Sc 0.6654 0.3346 0.0000  6 O 2.14-2.17
Co 0.0000 0.0000 0.0000  6 O 2.09-2.16
O 0.9420 0.6173 0.8252  1 Co 2.09, 2 Sc 2.16-2.17
O 0.7268 0.7268 0.1805  2 Sc 2.14, 1 Co 2.16
O 0.0580 0.3827 0.1748  1 Co 2.09, 2 Sc 2.16-2.17
O 0.6173 0.9420 0.8252  1 Co 2.09, 2 Sc 2.16-2.17
O 0.2732 0.2732 0.8195  2 Sc 2.14, 1 Co 2.16
O 0.3827 0.0580 0.1748  1 Co 2.09, 2 Sc 2.16-2.17

Calculated values
Calculated density   3.68 g/cm3
Calculated total energy   -76.866 eV for the cell shown
Space-group type   C2/m (12)